Record 1
First-principles (PBE-GGA) data for a relaxed Ba2Ga2Sb crystal, as listed in Alexandria.

Geometry as POSCAR:
```
Ba2Ga2Sb
1.0
7.964 0.000 0.000
0.000 7.964 0.000
0.000 0.000 5.131
Ba Ga Sb
4 4 2
Cartesian
1.459 2.523 0.000 Ba
2.523 6.505 0.000 Ba
5.442 1.459 0.000 Ba
6.505 5.442 0.000 Ba
0.927 4.910 2.565 Ga
3.055 0.927 2.565 Ga
4.910 7.037 2.565 Ga
7.037 3.055 2.565 Ga
0.000 0.000 2.565 Sb
3.982 3.982 2.565 Sb
```

Values from the calculation:
* energy relative to the lowest polymorph listed for this composition: 0.0 kJ/mol of formula units
* E_form (uncorrected): -0.490 eV per atom
* symmetry: No. 127



Record 2
First-principles (PBE-GGA) data for a relaxed SiNiB3 crystal, as listed in Alexandria.

Geometry as POSCAR:
```
SiNiB3
1.0
3.806 0.000 0.000
0.000 3.806 0.000
0.000 0.000 3.806
Si Ni B
1 1 3
Cartesian
0.000 0.000 0.000 Si
1.903 1.903 1.903 Ni
0.000 1.903 1.903 B
1.903 0.000 1.903 B
1.903 1.903 0.000 B
```

Values from the calculation:
* energy relative to the lowest polymorph listed for this composition: 0.0 kJ/mol of formula units
* E_form (uncorrected): 1.248 eV per atom
* symmetry: No. 221



Record 3
First-principles (PBE-GGA) data for a relaxed Li2UTl3O6 crystal, as listed in Alexandria.

Geometry as POSCAR:
```
Li2UTl3O6
1.0
2.856 -5.350 0.000
2.856 5.350 0.000
-1.339 0.000 6.317
Li U Tl O
2 1 3 6
Cartesian
2.856 3.097 0.000 Li
2.856 -3.097 0.000 Li
2.856 0.000 0.000 U
-0.670 0.000 3.158 Tl
2.187 1.881 3.158 Tl
2.187 -1.881 3.158 Tl
0.401 1.499 5.471 O
1.584 0.000 1.797 O
0.401 -1.499 5.471 O
3.972 1.499 0.845 O
2.789 0.000 4.519 O
3.972 -1.499 0.845 O
```

Values from the calculation:
* E_form (uncorrected): -1.745 eV per atom
* symmetry: No. 12



Record 4
First-principles (PBE-GGA) data for a relaxed LiCo2Re crystal, as listed in Alexandria.

Geometry as POSCAR:
```
LiCo2Re
1.0
4.277 0.000 0.000
0.000 4.277 0.000
0.000 0.000 2.658
Li Co Re
1 2 1
Cartesian
0.000 0.000 0.000 Li
0.000 2.138 1.329 Co
2.138 0.000 1.329 Co
2.138 2.138 0.000 Re
```

Values from the calculation:
* energy relative to the lowest polymorph listed for this composition: 16.7 kJ/mol of formula units
* symmetry: No. 123



Record 5
First-principles (PBE-GGA) data for a relaxed CeDy4Ho crystal, as listed in Alexandria.

Geometry as POSCAR:
```
CeDy4Ho
1.0
8.590 -1.780 0.000
8.590 1.780 0.000
-0.728 0.000 6.123
Ce Dy Ho
1 4 1
Cartesian
0.000 0.000 0.000 Ce
2.586 0.000 2.366 Dy
5.669 0.000 0.672 Dy
10.782 0.000 5.451 Dy
13.866 0.000 3.758 Dy
8.226 0.000 3.062 Ho
```

Values from the calculation:
* energy relative to the lowest polymorph listed for this composition: 0.0 kJ/mol of formula units
* symmetry: No. 12



Record 6
First-principles (PBE-GGA) data for a relaxed Al2PSe crystal, as listed in Alexandria.

Geometry as POSCAR:
```
Al2PSe
1.0
-1.761 1.761 6.883
1.761 -1.761 6.883
1.761 1.761 -6.883
Al P Se
2 1 1
Cartesian
0.000 0.000 0.000 Al
0.000 1.761 3.441 Al
1.761 0.000 3.441 P
0.000 0.000 6.883 Se
```

Values from the calculation:
* energy relative to the lowest polymorph listed for this composition: 183.1 kJ/mol of formula units
* E_form (uncorrected): 0.001 eV per atom
* symmetry: No. 119



| no. | DOS(E_F) (states/eV/f.u.) |
| --- | --- |
| 1 | 6.2 |
| 2 | 1.7 |
| 3 | 4.0 |
| 4 | 3.7 |
| 5 | 10.1 |
| 6 | 1.1 |